Density functional theory data (PBE-GGA) for crystalline Be2FeNi at its relaxed geometry.

Geometry as extended XYZ:
```
4
Lattice="-1.308 2.000 3.641 1.308 -2.000 3.641 1.308 2.000 -3.641" Properties=species:S:1:pos:R:3 pbc="T T T"
Be 0.000 0.000 1.788
Be 0.000 0.000 5.495
Fe 0.000 2.000 0.000
Ni 1.308 0.000 0.000
```

**M_tot**: 1.83 μB/f.u.
**ΔE_f**: -0.07 eV/atom
**Energy**: -21.973 eV/cell
**N(E_F)**: 3.5 states/eV/f.u.